CaTcW2, PBEsol geometry, DFT SCAN; electronic total energy = -181.146 eV per formula unit; space group = Imm2, No. 44; ΔH_f (0 K) = 0.738 eV per atom; polymorph energy (0 for the lowest one) = 0 meV per atom; size of the total moment = 0.00 Bohr magnetons per cell
1.0
3.072 0.000 0.000
0.000 4.834 0.000
-1.536 -2.417 4.602
W Ca Tc
2 1 1
Direct
0.731 0.231 0.462 W
0.992 0.992 0.985 W
0.506 0.506 0.012 Ca
0.270 0.770 0.541 Tc